# BaZr2Si, relaxed, DFT PBE
data_BaZr2Si
_symmetry_space_group_name_H-M 'P 1 m 1'
_symmetry_Int_Tables_number 6
_symmetry_space_group_name_Hall 'P -2y'
_cell_length_a 3.6711
_cell_length_b 3.6535
_cell_length_c 8.1888
_cell_angle_alpha 90.00
_cell_angle_beta 90.01
_cell_angle_gamma 90.00
loop_
_atom_site_label
_atom_site_type_symbol
_atom_site_fract_x
_atom_site_fract_y
_atom_site_fract_z
_atom_site_occupancy
Ba1 Ba 0.0000 0.0000 0.0000 1
Zr1 Zr 0.0014 0.0000 0.4151 1
Zr2 Zr 0.5011 0.5000 0.6270 1
Si1 Si 0.5013 0.5000 0.2917 1
# Fermi-level density of states = 1.0590 states/eV/atom
# magnetization = 0.52 μB/cell
# mass density = 5.26 g/cm3
# E_form (uncorrected) = -0.090 eV per atom

=====

# BaZr2Si, relaxed, DFT PBE
data_BaZr2Si
_symmetry_space_group_name_H-M 'R -3 m'
_symmetry_Int_Tables_number 166
_symmetry_space_group_name_Hall '-R 3 2"'
_cell_length_a 3.7840
_cell_length_b 3.7840
_cell_length_c 27.4758
_cell_angle_alpha 90.00
_cell_angle_beta 90.00
_cell_angle_gamma 120.00
loop_
_atom_site_label
_atom_site_type_symbol
_atom_site_fract_x
_atom_site_fract_y
_atom_site_fract_z
_atom_site_occupancy
Ba1 Ba 0.0000 0.0000 0.0000 1
Zr1 Zr 0.0000 0.0000 0.2202 1
Si1 Si 0.0000 0.0000 0.5000 1
# Fermi-level density of states = 0.9761 states/eV/atom
# magnetization = 0.00 μB/cell
# mass density = 5.09 g/cm3
# E_form (uncorrected) = 0.011 eV per atom

=====

# BaZr2Si, relaxed, DFT PBE
data_BaZr2Si
_symmetry_space_group_name_H-M 'P 4/m m m'
_symmetry_Int_Tables_number 123
_symmetry_space_group_name_Hall '-P 4 2'
_cell_length_a 4.6938
_cell_length_b 4.6938
_cell_length_c 4.3087
_cell_angle_alpha 90.00
_cell_angle_beta 90.00
_cell_angle_gamma 90.00
loop_
_atom_site_label
_atom_site_type_symbol
_atom_site_fract_x
_atom_site_fract_y
_atom_site_fract_z
_atom_site_occupancy
Ba1 Ba 0.0000 0.0000 0.0000 1
Zr1 Zr 0.0000 0.5000 0.5000 1
Si1 Si 0.5000 0.5000 0.0000 1
# Fermi-level density of states = 1.0120 states/eV/atom
# magnetization = 0.00 μB/cell
# mass density = 6.09 g/cm3
# E_form (uncorrected) = 0.330 eV per atom

=====

# BaZrSi2, relaxed, DFT PBE
data_BaZrSi2
_symmetry_space_group_name_H-M 'P 4/m m m'
_symmetry_Int_Tables_number 123
_symmetry_space_group_name_Hall '-P 4 2'
_cell_length_a 4.8763
_cell_length_b 4.8763
_cell_length_c 4.0206
_cell_angle_alpha 90.00
_cell_angle_beta 90.00
_cell_angle_gamma 90.00
loop_
_atom_site_label
_atom_site_type_symbol
_atom_site_fract_x
_atom_site_fract_y
_atom_site_fract_z
_atom_site_occupancy
Ba1 Ba 0.0000 0.0000 0.0000 1
Zr1 Zr 0.5000 0.5000 0.0000 1
Si1 Si 0.0000 0.5000 0.5000 1
# Fermi-level density of states = 0.9687 states/eV/atom
# magnetization = 0.00 μB/cell
# mass density = 4.95 g/cm3
# E_form (uncorrected) = 0.265 eV per atom
# excess energy over the best structure of this formula in the dataset = 666 meV/atom

=====

# BaZr3Si, relaxed, DFT PBE
data_BaZr3Si
_symmetry_space_group_name_H-M 'P m -3 m'
_symmetry_Int_Tables_number 221
_symmetry_space_group_name_Hall '-P 4 2 3'
_cell_length_a 5.2021
_cell_length_b 5.2021
_cell_length_c 5.2021
_cell_angle_alpha 90.00
_cell_angle_beta 90.00
_cell_angle_gamma 90.00
loop_
_atom_site_label
_atom_site_type_symbol
_atom_site_fract_x
_atom_site_fract_y
_atom_site_fract_z
_atom_site_occupancy
Ba1 Ba 0.0000 0.0000 0.0000 1
Zr1 Zr 0.0000 0.5000 0.5000 1
Si1 Si 0.5000 0.5000 0.5000 1
# Fermi-level density of states = 1.4256 states/eV/atom
# magnetization = 0.00 μB/cell
# mass density = 5.18 g/cm3
# E_form (uncorrected) = 0.297 eV per atom
# excess energy over the best structure of this formula in the dataset = 0 meV/atom

=====

# BaZr2Si, relaxed, DFT PBE
data_BaZr2Si
_symmetry_space_group_name_H-M 'I m m m'
_symmetry_Int_Tables_number 71
_symmetry_space_group_name_Hall '-I 2 2'
_cell_length_a 3.5869
_cell_length_b 5.6895
_cell_length_c 10.4657
_cell_angle_alpha 90.00
_cell_angle_beta 90.00
_cell_angle_gamma 90.00
loop_
_atom_site_label
_atom_site_type_symbol
_atom_site_fract_x
_atom_site_fract_y
_atom_site_fract_z
_atom_site_occupancy
Ba1 Ba 0.0000 0.0000 0.0000 1
Zr1 Zr 0.0000 0.5000 0.1900 1
Si1 Si 0.0000 0.0000 0.5000 1
# Fermi-level density of states = 1.1697 states/eV/atom
# magnetization = 0.00 μB/cell
# mass density = 5.41 g/cm3
# E_form (uncorrected) = 0.092 eV per atom

=====

# BaZrSi, relaxed, DFT PBE
data_BaZrSi
_symmetry_space_group_name_H-M 'F -4 3 m'
_symmetry_Int_Tables_number 216
_symmetry_space_group_name_Hall 'F -4 2 3'
_cell_length_a 7.2482
_cell_length_b 7.2482
_cell_length_c 7.2482
_cell_angle_alpha 90.00
_cell_angle_beta 90.00
_cell_angle_gamma 90.00
loop_
_atom_site_label
_atom_site_type_symbol
_atom_site_fract_x
_atom_site_fract_y
_atom_site_fract_z
_atom_site_occupancy
Ba1 Ba 0.0000 0.0000 0.0000 1
Zr1 Zr 0.2500 0.2500 0.7500 1
Si1 Si 0.2500 0.2500 0.2500 1
# Fermi-level density of states = 1.4540 states/eV/atom
# magnetization = 7.80 μB/cell
# mass density = 4.48 g/cm3
# E_form (uncorrected) = 1.249 eV per atom

=====

# Ba2ZrSi, relaxed, DFT PBE
data_Ba2ZrSi
_symmetry_space_group_name_H-M 'P 4/m m m'
_symmetry_Int_Tables_number 123
_symmetry_space_group_name_Hall '-P 4 2'
_cell_length_a 3.6069
_cell_length_b 3.6069
_cell_length_c 10.4957
_cell_angle_alpha 90.00
_cell_angle_beta 90.00
_cell_angle_gamma 90.00
loop_
_atom_site_label
_atom_site_type_symbol
_atom_site_fract_x
_atom_site_fract_y
_atom_site_fract_z
_atom_site_occupancy
Ba1 Ba 0.0000 0.0000 0.2109 1
Zr1 Zr 0.5000 0.5000 0.5000 1
Si1 Si 0.5000 0.5000 0.0000 1
# Fermi-level density of states = 1.0189 states/eV/atom
# magnetization = 2.44 μB/cell
# mass density = 4.79 g/cm3
# E_form (uncorrected) = 0.416 eV per atom

=====

# BaZr2Si, relaxed, DFT PBE
data_BaZr2Si
_symmetry_space_group_name_H-M 'C m m m'
_symmetry_Int_Tables_number 65
_symmetry_space_group_name_Hall '-C 2 2'
_cell_length_a 4.2775
_cell_length_b 5.1319
_cell_length_c 9.5296
_cell_angle_alpha 90.00
_cell_angle_beta 90.00
_cell_angle_gamma 90.00
loop_
_atom_site_label
_atom_site_type_symbol
_atom_site_fract_x
_atom_site_fract_y
_atom_site_fract_z
_atom_site_occupancy
Ba1 Ba 0.0000 0.0000 0.0000 1
Zr1 Zr 0.0000 0.5000 0.3275 1
Si1 Si 0.0000 0.0000 0.5000 1
# Fermi-level density of states = 1.2600 states/eV/atom
# magnetization = 0.00 μB/cell
# mass density = 5.52 g/cm3
# E_form (uncorrected) = 0.069 eV per atom

=====

# BaZrSi, relaxed, DFT PBE
data_BaZrSi
_symmetry_space_group_name_H-M 'I 4 m m'
_symmetry_Int_Tables_number 107
_symmetry_space_group_name_Hall 'I 4 -2'
_cell_length_a 3.7847
_cell_length_b 3.7847
_cell_length_c 12.4813
_cell_angle_alpha 90.00
_cell_angle_beta 90.00
_cell_angle_gamma 90.00
loop_
_atom_site_label
_atom_site_type_symbol
_atom_site_fract_x
_atom_site_fract_y
_atom_site_fract_z
_atom_site_occupancy
Ba1 Ba 0.0000 0.0000 0.0000 1
Zr1 Zr 0.0000 0.0000 0.7309 1
Si1 Si 0.0000 0.0000 0.2628 1
# Fermi-level density of states = 0.9516 states/eV/atom
# magnetization = 1.00 μB/cell
# mass density = 4.77 g/cm3
# E_form (uncorrected) = -0.129 eV per atom

=====

# BaZrSi2, relaxed, DFT PBE
data_BaZrSi2
_symmetry_space_group_name_H-M 'F m -3 m'
_symmetry_Int_Tables_number 225
_symmetry_space_group_name_Hall '-F 4 2 3'
_cell_length_a 7.2429
_cell_length_b 7.2429
_cell_length_c 7.2429
_cell_angle_alpha 90.00
_cell_angle_beta 90.00
_cell_angle_gamma 90.00
loop_
_atom_site_label
_atom_site_type_symbol
_atom_site_fract_x
_atom_site_fract_y
_atom_site_fract_z
_atom_site_occupancy
Ba1 Ba 0.0000 0.0000 0.0000 1
Zr1 Zr 0.0000 0.0000 0.5000 1
Si1 Si 0.2500 0.2500 0.2500 1
# Fermi-level density of states = 1.2659 states/eV/atom
# magnetization = 0.00 μB/cell
# mass density = 4.98 g/cm3
# E_form (uncorrected) = 0.173 eV per atom
# excess energy over the best structure of this formula in the dataset = 574 meV/atom

=====

# Ba2ZrSi, relaxed, DFT PBE
data_Ba2ZrSi
_symmetry_space_group_name_H-M 'C 1 2/m 1'
_symmetry_Int_Tables_number 12
_symmetry_space_group_name_Hall '-C 2y'
_cell_length_a 20.1386
_cell_length_b 3.8037
_cell_length_c 3.9489
_cell_angle_alpha 90.00
_cell_angle_beta 101.14
_cell_angle_gamma 90.00
loop_
_atom_site_label
_atom_site_type_symbol
_atom_site_fract_x
_atom_site_fract_y
_atom_site_fract_z
_atom_site_occupancy
Ba1 Ba 0.1539 0.0000 0.1508 1
Zr1 Zr 0.0000 0.0000 0.5000 1
Si1 Si 0.0000 0.5000 0.0000 1
# Fermi-level density of states = 1.0897 states/eV/atom
# magnetization = 1.65 μB/cell
# mass density = 4.41 g/cm3
# E_form (uncorrected) = -0.060 eV per atom